Record 1
DFT (PBE) results for TaNbSCl2 after structural relaxation.

extended XYZ file:
```
5
Lattice="4.817 0.000 0.000 0.000 4.817 0.000 0.000 0.000 4.839" Properties=species:S:1:pos:R:3 pbc="T T T"
Ta 0.000 0.000 0.000
Nb 2.408 2.408 2.420
S 0.000 0.000 2.420
Cl 0.000 2.408 0.000
Cl 2.408 0.000 0.000
```

Relative energy among the computed polymorphs in meV per atom: 0
Raw formation energy in eV/atom: 0.347
Density of states at the Fermi level in states/eV/atom: 1.4709
Magnetization in Bohr magnetons per cell: 3.97



Record 2
DFT (PBE) results for TaNbSCl2 after structural relaxation.

extended XYZ file:
```
5
Lattice="4.819 0.000 0.000 0.000 4.819 0.000 0.000 0.000 4.928" Properties=species:S:1:pos:R:3 pbc="T T T"
Ta 0.000 0.000 0.000
Nb 2.409 2.409 2.464
S 2.409 2.409 0.000
Cl 0.000 2.409 2.464
Cl 2.409 0.000 2.464
```

Relative energy among the computed polymorphs in meV per atom: 231
Raw formation energy in eV/atom: 0.578
Density of states at the Fermi level in states/eV/atom: 1.3151
Magnetization in Bohr magnetons per cell: 4.48



Record 3
DFT (PBE) results for NbTcSCl2 after structural relaxation.

extended XYZ file:
```
5
Lattice="4.908 0.000 0.000 0.000 4.908 0.000 0.000 0.000 4.839" Properties=species:S:1:pos:R:3 pbc="T T T"
Nb 0.000 0.000 0.000
Tc 2.454 2.454 2.419
S 0.000 0.000 2.419
Cl 0.000 2.454 0.000
Cl 2.454 0.000 0.000
```

Relative energy among the computed polymorphs in meV per atom: 0
Raw formation energy in eV/atom: 0.375
Density of states at the Fermi level in states/eV/atom: 1.1881
Magnetization in Bohr magnetons per cell: 5.30



> Number 1 is which compound?

TaNbSCl2



> raw formation energy of number 3 (NbTcSCl2)?

0.375 eV/atom